No. 1
# Hf2CoIr, relaxed, DFT GGA-PBE
# Energy of formation, eV per atom: -0.67
# Uncorrected energy, eV for the cell shown: -231.3
# Distance to the lowest polymorph of the same formula, meV/atom: 0
data_Hf2CoIr
_chemical_formula_sum 'Hf12 Co6 Ir6'
_cell_length_a 4.557
_cell_length_b 13.671
_cell_length_c 6.452
_cell_angle_alpha 90.00
_cell_angle_beta 90.00
_cell_angle_gamma 90.00
_space_group_name_H-M_alt 'P n n m'
_space_group_IT_number 58
loop_
_space_group_symop_operation_xyz
'x,y,z'
'-x,-y,-z'
'-x,-y,z'
'x,y,-z'
'x+1/2,-y+1/2,-z+1/2'
'-x+1/2,y+1/2,z+1/2'
'-x+1/2,y+1/2,-z+1/2'
'x+1/2,-y+1/2,z+1/2'
loop_
_atom_site_label
_atom_site_type_symbol
_atom_site_fract_x
_atom_site_fract_y
_atom_site_fract_z
Hf1 Hf 0.000 0.000 0.250
Hf2 Hf 0.001 0.333 0.250
Co1 Co 0.000 0.500 0.000
Co2 Co 0.002 0.167 0.000
Ir1 Ir 0.000 0.500 0.500
Ir2 Ir 0.001 0.167 0.500

***

No. 2
# Hf2CoIr, relaxed, DFT GGA-PBE
# Energy of formation, eV per atom: -0.27
# Uncorrected energy, eV for the cell shown: -147.7
# Distance to the lowest polymorph of the same formula, meV/atom: 403
data_Hf2CoIr
_chemical_formula_sum 'Hf8 Co4 Ir4'
_cell_length_a 6.358
_cell_length_b 6.358
_cell_length_c 6.358
_cell_angle_alpha 90.00
_cell_angle_beta 90.00
_cell_angle_gamma 90.00
_space_group_name_H-M_alt 'F -4 3 m'
_space_group_IT_number 216
_space_group_name_Hall 'F -4 2 3'
loop_
_atom_site_label
_atom_site_type_symbol
_atom_site_fract_x
_atom_site_fract_y
_atom_site_fract_z
Hf1 Hf 0.000 0.000 0.000
Hf2 Hf 0.250 0.250 0.250
Co1 Co 0.250 0.250 0.750
Ir1 Ir 0.000 0.000 0.500

***

No. 3
# HfCoIr, relaxed, DFT GGA-PBE
# Energy of formation, eV per atom: -0.20
# Uncorrected energy, eV for the cell shown: -106.0
# Distance to the lowest polymorph of the same formula, meV/atom: 0
data_HfCoIr
_chemical_formula_sum 'Hf4 Co4 Ir4'
_cell_length_a 5.873
_cell_length_b 5.873
_cell_length_c 5.873
_cell_angle_alpha 90.00
_cell_angle_beta 90.00
_cell_angle_gamma 90.00
_space_group_name_H-M_alt 'F -4 3 m'
_space_group_IT_number 216
_space_group_name_Hall 'F -4 2 3'
loop_
_atom_site_label
_atom_site_type_symbol
_atom_site_fract_x
_atom_site_fract_y
_atom_site_fract_z
Hf1 Hf 0.000 0.000 0.000
Co1 Co 0.250 0.250 0.250
Ir1 Ir 0.000 0.000 0.500

***

No. 4
# HfCoIr, relaxed, DFT GGA-PBE
# Energy of formation, eV per atom: 0.11
# Uncorrected energy, eV for the cell shown: -102.4
# Distance to the lowest polymorph of the same formula, meV/atom: 303
data_HfCoIr
_chemical_formula_sum 'Hf4 Co4 Ir4'
_cell_length_a 5.989
_cell_length_b 5.989
_cell_length_c 5.989
_cell_angle_alpha 90.00
_cell_angle_beta 90.00
_cell_angle_gamma 90.00
_space_group_name_H-M_alt 'F -4 3 m'
_space_group_IT_number 216
_space_group_name_Hall 'F -4 2 3'
loop_
_atom_site_label
_atom_site_type_symbol
_atom_site_fract_x
_atom_site_fract_y
_atom_site_fract_z
Hf1 Hf 0.000 0.000 0.000
Co1 Co 0.250 0.250 0.750
Ir1 Ir 0.250 0.250 0.250

***

uncorrected energy of number 4 (HfCoIr)? -102.4 eV for the cell shown